No. 1
This record from Alexandria describes an optimized crystal structure of SrAg2Se2. The functional is GGA-PBE.

Cell: 4.109 4.109 7.694 Å, 74.51 74.51 90.00°
Sites, in units of the cell vectors:
1 Sr 0.000 0.000 0.000
2 Se 0.385 0.385 0.231
3 Se 0.615 0.615 0.769
4 Ag 0.750 0.250 0.500
5 Ag 0.250 0.750 0.500

Results
Space group   No. 139
Formation energy (no corrections)   -0.80 eV/atom

No. 2
This record from Alexandria describes an optimized crystal structure of Ce2PaTiN4. The functional is GGA-PBE.

Cell: 3.392 5.837 5.962 Å, 108.07 90.00 90.00°
Sites, in units of the cell vectors:
1 Ce 0.500 0.000 0.500
2 Ce 0.000 0.500 0.500
3 Pa 0.500 0.500 0.000
4 Ti 0.000 0.000 0.000
5 N 0.500 0.225 0.212
6 N 0.500 0.775 0.788
7 N 0.000 0.239 0.784
8 N 0.000 0.761 0.216

Results
Space group   No. 10
Formation energy (no corrections)   -1.54 eV/atom

No. 3
This record from Alexandria describes an optimized crystal structure of HfSi2Pd. The functional is GGA-PBE.

Cell: 3.869 3.869 9.111 Å, 102.26 102.26 90.00°
Sites, in units of the cell vectors:
1 Hf 0.109 0.109 0.218
2 Hf 0.891 0.891 0.782
3 Si 0.342 0.342 0.684
4 Si 0.658 0.658 0.316
5 Si 0.500 0.000 0.000
6 Si 0.000 0.500 0.000
7 Pd 0.750 0.250 0.500
8 Pd 0.250 0.750 0.500

Results
Space group   No. 139
Formation energy (no corrections)   -0.54 eV/atom

No. 4
This record from Alexandria describes an optimized crystal structure of Nd6P5H. The functional is GGA-PBE.

Cell: 7.142 7.142 7.154 Å, 99.61 99.61 119.94°
Sites, in units of the cell vectors:
1 Nd 0.426 0.084 0.253
2 Nd 0.916 0.574 0.747
3 Nd 0.257 0.257 0.743
4 Nd 0.743 0.743 0.257
5 Nd 0.084 0.426 0.253
6 Nd 0.574 0.916 0.747
7 P 0.833 0.167 0.500
8 P 0.667 0.333 0.000
9 P 0.500 0.500 0.500
10 P 0.333 0.667 0.000
11 P 0.167 0.833 0.500
12 H 0.000 0.000 0.000

Results
Space group   No. 12
VASP energy   -6.2823 eV per atom

No. 5
This record from Alexandria describes an optimized crystal structure of Mg3AlC. The functional is GGA-PBE.

Cell: 5.181 5.181 5.181 Å, 90.00 90.00 90.00°
Each line ends with the local moment (μB).
Sites, in units of the cell vectors:
1 C 0.500 0.500 0.500  1.04
2 Mg 0.000 0.500 0.000  0.01
3 Mg 0.000 0.000 0.500  0.01
4 Mg 0.500 0.000 0.000  0.01
5 Al 0.000 0.000 0.000  0.05

Results
Space group   No. 221
ΔH_f (0 K)   1.534 eV/atom

No. 6
This record from Alexandria describes an optimized crystal structure of Sm5Er4Mg. The functional is GGA-PBE.

Cell: 3.588 3.588 24.424 Å, 90.00 90.00 90.00°
Sites, in units of the cell vectors:
1 Sm 0.500 0.500 0.091
2 Sm 0.500 0.500 0.296
3 Sm 0.500 0.500 0.500
4 Sm 0.500 0.500 0.704
5 Sm 0.500 0.500 0.909
6 Er 0.000 0.000 0.193
7 Er 0.000 0.000 0.398
8 Er 0.000 0.000 0.602
9 Er 0.000 0.000 0.807
10 Mg 0.000 0.000 0.000

Results
Space group   No. 123
ΔH_f (0 K)   0.000 eV/atom

No. 7
This record from Alexandria describes an optimized crystal structure of BiPb2Cl2O2. The functional is GGA-PBE.

Cell: 4.385 6.795 6.917 Å, 67.43 71.52 71.18°
Sites, in units of the cell vectors:
1 Bi 0.000 0.000 0.000
2 Pb 0.185 0.395 0.235
3 Pb 0.815 0.605 0.765
4 Cl 0.557 0.170 0.715
5 Cl 0.443 0.830 0.285
6 O 0.209 0.671 0.911
7 O 0.791 0.329 0.089

Results
Space group   No. 12
Formation energy (no corrections)   -0.95 eV/atom

No. 8
This record from Alexandria describes an optimized crystal structure of V7Cr2Mo2. The functional is GGA-PBE.

Cell: 2.868 9.240 9.240 Å, 39.82 81.07 81.07°
Sites, in units of the cell vectors:
1 V 0.862 0.054 0.222
2 V 0.884 0.393 0.839
3 V 0.500 0.949 0.051
4 V 0.626 0.473 0.276
5 V 0.374 0.724 0.527
6 V 0.138 0.778 0.946
7 V 0.116 0.161 0.607
8 Cr 0.000 0.627 0.373
9 Cr 0.500 0.323 0.677
10 Mo 0.745 0.941 0.569
11 Mo 0.255 0.431 0.059

Results
Space group   No. 44
ΔH_f (0 K)   0.291 eV/atom

No. 9
This record from Alexandria describes an optimized crystal structure of NaLa2ErSe4. The functional is GGA-PBE.

Cell: 4.215 7.349 7.276 Å, 109.31 90.00 90.00°
Sites, in units of the cell vectors:
1 Na 0.500 0.500 0.000
2 La 0.500 0.000 0.500
3 La 0.000 0.500 0.500
4 Er 0.000 0.000 0.000
5 Se 0.500 0.240 0.232
6 Se 0.500 0.760 0.768
7 Se 0.000 0.247 0.762
8 Se 0.000 0.753 0.238

Results
Space group   No. 10
Formation energy (no corrections)   -1.80 eV/atom

No. 10
This record from Alexandria describes an optimized crystal structure of YZnGa3Pd. The functional is GGA-PBE.

Cell: 6.298 5.940 6.870 Å, 115.61 90.00 90.00°
Sites, in units of the cell vectors:
1 Y 0.750 0.307 0.614
2 Y 0.250 0.693 0.386
3 Zn 0.250 0.915 0.830
4 Zn 0.750 0.085 0.170
5 Ga 0.250 0.141 0.283
6 Ga 0.000 0.286 0.000
7 Ga 0.500 0.714 0.000
8 Ga 0.500 0.286 0.000
9 Ga 0.000 0.714 0.000
10 Ga 0.750 0.859 0.717
11 Pd 0.250 0.350 0.700
12 Pd 0.750 0.650 0.300

Results
Space group   No. 63
ΔH_f (0 K)   -0.288 eV/atom

No. 11
This record from Alexandria describes an optimized crystal structure of CaBeCuGe2. The functional is GGA-PBE.

Cell: 4.054 4.054 5.900 Å, 110.10 110.10 90.00°
Sites, in units of the cell vectors:
1 Ca 0.000 0.000 0.000
2 Be 0.750 0.250 0.500
3 Cu 0.250 0.750 0.500
4 Ge 0.623 0.623 0.245
5 Ge 0.377 0.377 0.755

Results
Space group   No. 119
ΔH_f (0 K)   -0.323 eV/atom

No. 12
This record from Alexandria describes an optimized crystal structure of Y8RuAu2. The functional is GGA-PBE.

Cell: 5.856 8.094 8.094 Å, 118.83 101.84 101.84°
Sites, in units of the cell vectors:
1 Y 0.599 0.339 0.103
2 Y 0.599 0.103 0.339
3 Y 0.187 0.362 0.362
4 Y 0.990 0.197 0.801
5 Y 0.990 0.801 0.197
6 Y 0.797 0.646 0.646
7 Y 0.361 0.902 0.663
8 Y 0.361 0.663 0.902
9 Ru 0.117 0.003 0.003
10 Au 0.500 0.712 0.306
11 Au 0.500 0.306 0.712

Results
Space group   No. 8
ΔH_f (0 K)   -0.296 eV/atom

no.,DOS(E_F) (states/eV/cell)
1,0.00
2,5.65
3,3.38
4,2.97
5,1.31
6,13.09
7,1.15
8,11.61
9,3.17
10,4.44
11,1.12
12,13.60